No. 1
{
  "formula": "FeGe2",
  "functional": "PBE",
  "state": "optimized geometry",
  "dft_energy_ev_per_atom": -5.836,
  "total_magnetization_mub_per_fu": 0.745,
  "sg": "Cmce (64)",
  "density_g_cm3": 7.52,
  "lattice": [[-5.7466, -2.0742, 0.5997], [-2.5596, -4.2407, -3.6264], [1.8530, -4.1192, 3.5091]],
  "species": ["Fe", "Fe", "Fe", "Fe", "Ge", "Ge", "Ge", "Ge", "Ge", "Ge", "Ge", "Ge"],
  "frac_coords": [[0.3845, 0.3845, 0.0000], [0.6155, 0.6155, 0.0000], [0.1155, 0.1155, 0.5000], [0.8845, 0.8845, 0.5000], [0.8442, 0.1558, 0.1571], [0.0014, 0.4986, 0.2500], [0.5014, 0.9986, 0.2500], [0.3442, 0.6558, 0.3429], [0.6558, 0.3442, 0.6571], [0.4986, 0.0014, 0.7500], [0.9986, 0.5014, 0.7500], [0.1558, 0.8442, 0.8429]]
}

=====

No. 2
{
  "formula": "NaTaAsO",
  "functional": "PBE",
  "state": "optimized geometry",
  "dft_energy_ev_per_atom": -6.800,
  "total_magnetization_mub_per_fu": 0.011,
  "sg": "Pmma (51)",
  "density_g_cm3": 7.16,
  "lattice": [[-0.0151, 3.6958, 0.9322], [-4.5563, 1.2154, -4.8924], [-3.9162, -0.8808, 3.4284]],
  "species": ["As", "As", "Na", "Na", "O", "O", "Ta", "Ta"],
  "frac_coords": [[0.0000, 0.2693, 0.3762], [0.0000, 0.7307, 0.8762], [0.5000, 0.0005, 0.1261], [0.5000, 0.9995, 0.6261], [0.5000, 0.7176, 0.3758], [0.5000, 0.2824, 0.8758], [0.0000, 0.6377, 0.3759], [0.0000, 0.3623, 0.8759]]
}

=====

No. 3
{
  "formula": "ErHg3S4Cl",
  "functional": "PBE",
  "state": "optimized geometry",
  "dft_energy_ev_per_atom": -3.300,
  "total_magnetization_mub_per_fu": 0.001,
  "sg": "P6_3mc (186)",
  "density_g_cm3": 7.11,
  "lattice": [[-2.6786, 7.0878, 2.3724], [-2.3801, -6.5941, 3.7273], [6.1473, 0.6339, 5.0468]],
  "species": ["Cl", "Cl", "Er", "Er", "Hg", "Hg", "Hg", "Hg", "Hg", "Hg", "S", "S", "S", "S", "S", "S", "S", "S"],
  "frac_coords": [[0.6667, 0.3333, 0.0554], [0.3333, 0.6667, 0.5554], [0.0000, 0.0000, 0.1044], [0.0000, 0.0000, 0.6044], [0.0139, 0.5069, 0.2838], [0.4931, 0.5069, 0.2838], [0.4931, 0.9861, 0.2838], [0.5069, 0.0139, 0.7838], [0.5069, 0.4931, 0.7838], [0.9861, 0.4931, 0.7838], [0.3333, 0.6667, 0.1273], [0.2817, 0.1408, 0.3496], [0.8592, 0.1408, 0.3496], [0.8592, 0.7183, 0.3496], [0.6667, 0.3333, 0.6273], [0.1408, 0.2817, 0.8496], [0.1408, 0.8592, 0.8496], [0.7183, 0.8592, 0.8496]]
}

=====

No. 4
{
  "formula": "NpCu",
  "functional": "PBE",
  "state": "optimized geometry",
  "dft_energy_ev_per_atom": -7.435,
  "total_magnetization_mub_per_fu": 4.672,
  "sg": "Fm-3m (225)",
  "density_g_cm3": 11.12,
  "lattice": [[2.3830, -1.5179, 2.8151], [0.4104, 1.8817, 3.4926], [-1.5742, -1.5730, 3.3098]],
  "species": ["Cu", "Np"],
  "frac_coords": [[0.0000, 0.0000, 0.0000], [0.5000, 0.5000, 0.5000]]
}

=====

No. 5
{
  "formula": "Ho4O7",
  "functional": "PBE",
  "state": "optimized geometry",
  "dft_energy_ev_per_atom": -7.899,
  "total_magnetization_mub_per_fu": 0.003,
  "sg": "Amm2 (38)",
  "density_g_cm3": 8.70,
  "lattice": [[-0.0154, 7.7541, 1.8240], [-1.6624, -1.2341, 5.2323], [1.7912, -1.2181, 5.1934]],
  "species": ["Ho", "Ho", "Ho", "Ho", "O", "O", "O", "O", "O", "O", "O"],
  "frac_coords": [[0.5000, 0.0066, 0.0066], [0.0000, 0.0140, 0.0140], [0.2422, 0.2970, 0.2970], [0.7578, 0.2970, 0.2970], [0.5000, 0.3776, 0.3776], [0.0000, 0.3847, 0.3847], [0.4033, 0.6568, 0.6568], [0.5967, 0.6568, 0.6568], [0.0000, 0.6598, 0.6598], [0.2481, 0.9254, 0.9254], [0.7519, 0.9254, 0.9254]]
}

=====

No. 6
{
  "formula": "AcHfGa",
  "functional": "PBE",
  "state": "optimized geometry",
  "dft_energy_ev_per_atom": -5.498,
  "total_magnetization_mub_per_fu": 0.047,
  "sg": "F-43m (216)",
  "density_g_cm3": 8.98,
  "lattice": [[3.2616, 0.1670, 3.7735], [-1.6327, 0.5030, 4.6890], [0.3323, -3.8299, 3.1823]],
  "species": ["Ac", "Ga", "Hf"],
  "frac_coords": [[0.2500, 0.2500, 0.2500], [0.0000, 0.0000, 0.0000], [0.7500, 0.7500, 0.7500]]
}

=====

No. 7
{
  "formula": "Tm3SN2",
  "functional": "PBE",
  "state": "optimized geometry",
  "dft_energy_ev_per_atom": -7.574,
  "total_magnetization_mub_per_fu": 0.005,
  "sg": "P-3m1 (164)",
  "density_g_cm3": 10.00,
  "lattice": [[3.4914, 0.0000, 0.0000], [-1.7457, 3.0236, 0.0000], [0.0000, 0.0000, 8.9171]],
  "species": ["N", "N", "S", "Tm", "Tm", "Tm"],
  "frac_coords": [[0.3333, 0.6667, 0.3409], [0.6667, 0.3333, 0.6591], [0.0000, 0.0000, 0.0000], [0.6667, 0.3333, 0.2059], [0.0000, 0.0000, 0.5000], [0.3333, 0.6667, 0.7941]]
}

=====

No. 8
{
  "formula": "CsTb2CuTe3Se",
  "functional": "PBE",
  "state": "optimized geometry",
  "dft_energy_ev_per_atom": -4.569,
  "total_magnetization_mub_per_fu": 0.000,
  "sg": "Cmcm (63)",
  "density_g_cm3": 6.30,
  "lattice": [[2.1818, -7.7558, 0.0000], [2.1818, 7.7558, 0.0000], [0.0000, 0.0000, 15.2051]],
  "species": ["Cs", "Cs", "Cu", "Cu", "Se", "Se", "Tb", "Tb", "Tb", "Tb", "Te", "Te", "Te", "Te", "Te", "Te"],
  "frac_coords": [[0.9023, 0.0977, 0.2500], [0.0977, 0.9023, 0.7500], [0.1621, 0.8379, 0.2500], [0.8379, 0.1621, 0.7500], [0.5801, 0.4199, 0.2500], [0.4199, 0.5801, 0.7500], [0.6331, 0.3669, 0.0715], [0.6331, 0.3669, 0.4285], [0.3669, 0.6331, 0.5715], [0.3669, 0.6331, 0.9285], [0.0000, 0.0000, 0.0000], [0.2636, 0.7364, 0.1104], [0.2636, 0.7364, 0.3896], [0.0000, 0.0000, 0.5000], [0.7364, 0.2636, 0.6104], [0.7364, 0.2636, 0.8896]]
}

=====

No. 9
{
  "formula": "PrSm2Ga2Pd4",
  "functional": "PBE",
  "state": "optimized geometry",
  "dft_energy_ev_per_atom": -5.365,
  "total_magnetization_mub_per_fu": 0.007,
  "sg": "C2/m (12)",
  "density_g_cm3": 8.58,
  "lattice": [[5.1542, -2.1893, 0.0000], [5.1542, 2.1893, 0.0000], [-1.1287, 0.0000, 8.6297]],
  "species": ["Ga", "Ga", "Pd", "Pd", "Pd", "Pd", "Pr", "Sm", "Sm"],
  "frac_coords": [[0.3214, 0.3214, 0.2187], [0.6786, 0.6786, 0.7813], [0.7194, 0.7194, 0.0896], [0.9141, 0.9141, 0.3638], [0.0859, 0.0859, 0.6362], [0.2806, 0.2806, 0.9104], [0.0000, 0.0000, 0.0000], [0.6232, 0.6232, 0.3855], [0.3768, 0.3768, 0.6145]]
}

=====

No. 10
{
  "formula": "BaHoPd",
  "functional": "PBE",
  "state": "optimized geometry",
  "dft_energy_ev_per_atom": -4.090,
  "total_magnetization_mub_per_fu": 0.004,
  "sg": "F-43m (216)",
  "density_g_cm3": 6.88,
  "lattice": [[0.0000, 3.6667, 3.6667], [3.6667, 0.0000, 3.6667], [3.6667, 3.6667, 0.0000]],
  "species": ["Ba", "Ho", "Pd"],
  "frac_coords": [[0.2500, 0.2500, 0.2500], [0.7500, 0.7500, 0.7500], [0.0000, 0.0000, 0.0000]]
}

=====

No. 11
{
  "formula": "ErTmGe2Ir",
  "functional": "PBE",
  "state": "optimized geometry",
  "dft_energy_ev_per_atom": -6.347,
  "total_magnetization_mub_per_fu": 0.001,
  "sg": "C2/m (12)",
  "density_g_cm3": 11.03,
  "lattice": [[-5.5254, -0.5593, 0.8980], [-3.6133, -4.3090, 0.1588], [5.5834, 1.1769, 8.4718]],
  "species": ["Er", "Er", "Ge", "Ge", "Ge", "Ge", "Ir", "Ir", "Tm", "Tm"],
  "frac_coords": [[0.9918, 0.9918, 0.1704], [0.0082, 0.0082, 0.8296], [0.6462, 0.6462, 0.0530], [0.5220, 0.5220, 0.3849], [0.4780, 0.4780, 0.6151], [0.3538, 0.3538, 0.9470], [0.2718, 0.2718, 0.1654], [0.7282, 0.7282, 0.8346], [0.8103, 0.8103, 0.3814], [0.1897, 0.1897, 0.6186]]
}

=====

No. 12
{
  "formula": "CoCu5Sn2",
  "functional": "PBE",
  "state": "optimized geometry",
  "dft_energy_ev_per_atom": -4.080,
  "total_magnetization_mub_per_fu": 0.012,
  "sg": "P4/mmm (123)",
  "density_g_cm3": 9.05,
  "lattice": [[-3.3772, -2.6492, -0.1524], [2.5151, -3.2743, 1.1834], [-1.2030, 1.1960, 5.8663]],
  "species": ["Co", "Cu", "Cu", "Cu", "Cu", "Cu", "Sn", "Sn"],
  "frac_coords": [[0.0000, 0.0000, 0.5000], [0.5000, 0.5000, 0.0000], [0.5000, 0.0000, 0.2497], [0.0000, 0.5000, 0.2497], [0.5000, 0.0000, 0.7503], [0.0000, 0.5000, 0.7503], [0.0000, 0.0000, 0.0000], [0.5000, 0.5000, 0.5000]]
}